# KPaTlI6

An optimized crystal structure of KPaTlI6 (PBE, the Alexandria database).

Structure (extended XYZ):
```
18
Lattice="8.5795 0.0000 0.0000 -4.2897 7.4300 0.0000 0.0000 0.0000 14.4721" Properties=species:S:1:pos:R:3 pbc="T T T"
K 0.0000 4.9534 3.6180
K 4.2897 2.4767 10.8541
Pa 0.0000 4.9534 10.8541
Pa 4.2897 2.4767 3.6180
Tl 0.0000 0.0000 0.0000
Tl 0.0000 0.0000 7.2360
I -1.2265 2.8001 9.0804
I -2.4780 4.9678 12.6277
I 1.2265 2.8001 12.6277
I -1.2515 7.0922 9.0804
I 3.0382 0.3379 1.8443
I 1.8117 2.4623 5.3917
I 2.4780 4.9678 9.0804
I 1.2515 7.0922 12.6277
I 5.5412 0.3379 5.3917
I 3.0632 4.6299 1.8443
I 6.7678 2.4623 1.8443
I 5.5163 4.6299 5.3917
```

Output
formation energy without anion corrections: -1.020 eV/atom
density: 4.4 g/cm3
size of the total moment: 0.112 μB per atom

---

# KPaTl2I8

An optimized crystal structure of KPaTl2I8 (PBE, the Alexandria database).

Structure (extended XYZ):
```
12
Lattice="7.5300 0.0000 0.0000 -0.0326 8.3566 0.0000 -0.0275 -0.0111 10.1934" Properties=species:S:1:pos:R:3 pbc="T T T"
K 0.0000 0.0000 0.0000
Pa -0.0137 -0.0055 5.0967
Tl 3.7224 4.1692 7.8339
Tl 3.7475 4.1764 2.3595
I 1.4742 5.8374 5.0872
I 1.7933 1.0905 3.0142
I 1.7909 1.0725 7.1915
I 2.0742 5.6313 0.0004
I 5.3957 2.7143 10.1929
I 5.6791 7.2731 3.0018
I 5.6766 7.2551 7.1791
I 5.9957 2.5082 5.1061
```

Output
formation energy without anion corrections: -0.909 eV/atom
density: 4.4 g/cm3
size of the total moment: 0.000 μB per atom

---

# K2PbI5

An optimized crystal structure of K2PbI5 (PBE, the Alexandria database).

Structure (extended XYZ):
```
16
Lattice="3.3432 -8.5579 0.0000 3.3432 8.5579 0.0000 0.0000 0.0000 15.4719" Properties=species:S:1:pos:R:3 pbc="T T T"
K 3.3432 5.6404 8.9894
K 3.3432 5.6404 14.2184
K 3.3432 -5.6404 1.2535
K 3.3432 -5.6404 6.4825
Pb 3.3432 5.7816 3.8680
Pb 3.3432 -5.7816 11.6039
I 3.3432 7.8436 1.5253
I 3.3432 7.8436 6.2106
I 3.3432 3.5146 1.6940
I 3.3432 3.5146 6.0419
I 3.3432 3.1466 11.6039
I 3.3432 -3.1466 3.8680
I 3.3432 -3.5146 9.4300
I 3.3432 -3.5146 13.7779
I 3.3432 -7.8436 9.2613
I 3.3432 -7.8436 13.9466
```

Output
formation energy without anion corrections: -0.886 eV/atom
density: 3.5 g/cm3
size of the total moment: 0.000 μB per atom

---

# K2PbI

An optimized crystal structure of K2PbI (PBE, the Alexandria database).

Structure (extended XYZ):
```
8
Lattice="-4.8399 4.8399 3.7829 4.8399 -4.8399 3.7829 4.8399 4.8399 -3.7829" Properties=species:S:1:pos:R:3 pbc="T T T"
K 7.2599 2.2048 -0.9457
K 2.2048 2.4200 0.9457
K -2.4200 2.6352 2.8372
K 2.6352 2.4200 4.7286
Pb 4.8399 0.0000 1.8915
Pb 0.0000 0.0000 3.7829
I 0.0000 0.0000 0.0000
I 0.0000 4.8399 1.8915
```

Output
energy above the most stable polymorph in this dataset: 0.220 eV per formula unit
formation energy without anion corrections: -0.407 eV/atom
density: 3.9 g/cm3
size of the total moment: 0.000 μB per atom

---

# KPb4I8

An optimized crystal structure of KPb4I8 (PBE, the Alexandria database).

Structure (extended XYZ):
```
13
Lattice="0.0000 6.9651 6.9651 6.9651 0.0000 6.9651 6.9651 6.9651 0.0000" Properties=species:S:1:pos:R:3 pbc="T T T"
K 0.0000 0.0000 0.0000
Pb 5.2791 5.2791 5.2791
Pb 8.6511 8.6511 5.2791
Pb 8.6511 5.2791 8.6511
Pb 5.2791 8.6511 8.6511
I 1.9552 1.9552 1.9552
I 5.0099 5.0099 1.9552
I 5.0099 1.9552 5.0099
I 8.5548 5.3754 5.3754
I 1.9552 5.0099 5.0099
I 5.3754 8.5548 5.3754
I 5.3754 5.3754 8.5548
I 8.5548 8.5548 8.5548
```

Output
energy above the most stable polymorph in this dataset: 0.141 eV per formula unit
formation energy without anion corrections: -0.659 eV/atom
density: 4.6 g/cm3
size of the total moment: 0.000 μB per atom

---

# KPb2I2

An optimized crystal structure of KPb2I2 (PBE, the Alexandria database).

Structure (extended XYZ):
```
10
Lattice="9.0833 0.0000 0.0000 0.0000 9.0833 0.0000 0.0000 0.0000 5.1259" Properties=species:S:1:pos:R:3 pbc="T T T"
K 0.0000 0.0000 0.0000
K 4.5417 4.5417 0.0000
Pb 1.0773 3.4644 2.5629
Pb 3.4644 8.0060 2.5629
Pb 5.6190 1.0773 2.5629
Pb 8.0060 5.6190 2.5629
I 1.4147 5.9564 0.0000
I 3.1269 1.4147 0.0000
I 5.9564 7.6686 0.0000
I 7.6686 3.1269 0.0000
```

Output
energy above the most stable polymorph in this dataset: 1.466 eV per formula unit
formation energy without anion corrections: -0.283 eV/atom
density: 5.6 g/cm3
size of the total moment: 0.000 μB per atom

---

# K12Pb3I5

An optimized crystal structure of K12Pb3I5 (PBE, the Alexandria database).

Structure (extended XYZ):
```
80
Lattice="-10.4540 10.4540 10.4540 10.4540 -10.4540 10.4540 10.4540 10.4540 -10.4540" Properties=species:S:1:pos:R:3 pbc="T T T"
K 3.2121 -0.3304 1.4857
K 12.4689 6.7126 -5.5574
K 10.1236 -1.4857 3.2121
K 16.0113 -2.0149 3.7413
K 13.6660 0.3304 1.4857
K 12.4689 -3.7413 5.5574
K 1.4857 3.2121 -0.3304
K 14.1953 4.8966 -2.0149
K 6.7126 5.5574 -2.0149
K 8.9683 3.2121 0.3304
K -0.3304 1.4857 3.2121
K 5.5574 -2.0149 6.7126
K 10.1236 8.9683 -3.2121
K 5.5574 2.0149 3.7413
K 8.9683 -3.2121 10.1236
K 6.7126 -5.5574 12.4689
K 3.7413 5.5574 2.0149
K 11.9396 7.2419 0.3304
K 3.2121 10.1236 -1.4857
K 12.4689 3.7413 4.8966
K 5.5574 12.4689 -3.7413
K 10.1236 1.4857 7.2419
K 2.0149 3.7413 5.5574
K 3.2121 0.3304 8.9683
K 7.2419 10.1236 1.4857
K 8.4391 6.7126 4.8966
K 0.3304 8.9683 3.2121
K 4.8966 -2.0149 14.1953
K -2.0149 6.7126 5.5574
K 7.2419 0.3304 11.9396
K -1.4857 3.2121 10.1236
K 6.7126 4.8966 8.4391
K 3.7413 16.0113 -2.0149
K 1.4857 13.6660 0.3304
K 4.8966 8.4391 6.7126
K 0.3304 1.4857 13.6660
K 4.8966 12.4689 3.7413
K 10.7843 8.9683 7.2419
K 1.4857 7.2419 10.1236
K 3.7413 4.8966 12.4689
K -3.7413 5.5574 12.4689
K 8.9683 7.2419 10.7843
K -2.0149 14.1953 4.8966
K -3.2121 10.1236 8.9683
K -5.5574 12.4689 6.7126
K 0.3304 11.9396 7.2419
K -2.0149 3.7413 16.0113
K 7.2419 10.7843 8.9683
Pb 5.2270 2.6135 0.0000
Pb 10.4540 5.2270 -2.6135
Pb 2.6135 0.0000 5.2270
Pb 13.0675 0.0000 5.2270
Pb 0.0000 5.2270 2.6135
Pb 5.2270 -2.6135 10.4540
Pb 5.2270 13.0675 0.0000
Pb 10.4540 5.2270 7.8405
Pb -2.6135 10.4540 5.2270
Pb 7.8405 10.4540 5.2270
Pb 0.0000 5.2270 13.0675
Pb 5.2270 7.8405 10.4540
I 0.0000 0.0000 0.0000
I 5.2270 5.2270 -5.2270
I 5.2270 -5.2270 5.2270
I 10.4540 0.0000 0.0000
I 15.6810 2.6135 0.0000
I 10.4540 -5.2270 7.8405
I 7.8405 10.4540 -5.2270
I 7.8405 0.0000 5.2270
I 5.2270 7.8405 0.0000
I 10.4540 5.2270 2.6135
I -5.2270 5.2270 5.2270
I 0.0000 10.4540 0.0000
I 0.0000 0.0000 10.4540
I 5.2270 5.2270 5.2270
I 0.0000 5.2270 7.8405
I 5.2270 2.6135 10.4540
I 2.6135 10.4540 5.2270
I 2.6135 0.0000 15.6810
I 0.0000 15.6810 2.6135
I -5.2270 7.8405 10.4540
```

Output
formation energy without anion corrections: -0.651 eV/atom
density: 2.5 g/cm3
size of the total moment: 0.254 μB per atom

---

# K2PbI

An optimized crystal structure of K2PbI (PBE, the Alexandria database).

Structure (extended XYZ):
```
4
Lattice="0.0000 4.4489 4.4489 4.4489 0.0000 4.4489 4.4489 4.4489 0.0000" Properties=species:S:1:pos:R:3 pbc="T T T"
K 2.2245 2.2245 2.2245
K 6.6734 6.6734 6.6734
Pb 0.0000 0.0000 0.0000
I 4.4489 4.4489 4.4489
```

Output
energy above the most stable polymorph in this dataset: 0.270 eV per formula unit
formation energy without anion corrections: -0.394 eV/atom
density: 3.9 g/cm3
size of the total moment: 0.750 μB per atom

---

# KPb2I2

An optimized crystal structure of KPb2I2 (PBE, the Alexandria database).

Structure (extended XYZ):
```
5
Lattice="-2.2737 2.2737 9.7715 2.2737 -2.2737 9.7715 2.2737 2.2737 -9.7715" Properties=species:S:1:pos:R:3 pbc="T T T"
K 0.0000 0.0000 0.0000
Pb 2.2737 0.0000 4.8857
Pb 0.0000 2.2737 4.8857
I 0.0000 0.0000 7.7708
I 0.0000 0.0000 11.7721
```

Output
energy above the most stable polymorph in this dataset: 0.000 eV per formula unit
formation energy without anion corrections: -0.577 eV/atom
density: 5.8 g/cm3
size of the total moment: 0.000 μB per atom

---

# K2Pb2I

An optimized crystal structure of K2Pb2I (PBE, the Alexandria database).

Structure (extended XYZ):
```
10
Lattice="10.1156 0.0000 0.0000 0.0000 10.1156 0.0000 0.0000 0.0000 4.5103" Properties=species:S:1:pos:R:3 pbc="T T T"
K 2.0477 3.0101 0.0000
K 3.0101 8.0679 0.0000
K 7.1055 2.0477 0.0000
K 8.0679 7.1055 0.0000
Pb 0.9990 6.0568 2.2551
Pb 4.0588 0.9990 2.2551
Pb 6.0568 9.1166 2.2551
Pb 9.1166 4.0588 2.2551
I 0.0000 0.0000 0.0000
I 5.0578 5.0578 0.0000
```

Output
formation energy without anion corrections: -0.269 eV/atom
density: 4.5 g/cm3
size of the total moment: 0.038 μB per atom

---

# K3PbI6

An optimized crystal structure of K3PbI6 (PBE, the Alexandria database).

Structure (extended XYZ):
```
20
Lattice="12.3757 0.0000 0.0000 0.0000 6.5834 0.0000 -4.8177 0.0000 11.6669" Properties=species:S:1:pos:R:3 pbc="T T T"
K -1.1001 1.6459 4.5794
K 1.4023 4.9376 1.9277
K 0.1711 1.6459 9.9598
K 7.3870 4.9376 1.7071
K 6.1558 1.6459 9.7392
K 8.6582 4.9376 7.0875
Pb 2.7174 4.9376 7.2559
Pb 4.8407 1.6459 4.4110
I -2.9622 6.5825 10.2407
I -2.9622 3.2926 10.2407
I -0.3345 4.9376 5.7625
I 2.0533 1.6459 2.9828
I 1.3481 4.9376 10.0301
I 2.9028 1.6459 7.3738
I 4.6552 4.9376 4.2931
I 6.2100 1.6459 1.6368
I 5.5048 4.9376 8.6841
I 7.8926 1.6459 5.9043
I 10.5203 0.0009 1.4262
I 10.5203 3.2908 1.4262
```

Output
energy above the most stable polymorph in this dataset: 0.000 eV per formula unit
formation energy without anion corrections: -1.047 eV/atom
density: 3.8 g/cm3
size of the total moment: 0.000 μB per atom

---

# K2PbI

An optimized crystal structure of K2PbI (PBE, the Alexandria database).

Structure (extended XYZ):
```
4
Lattice="2.1340 1.2321 11.7720 -2.1340 1.2321 11.7720 0.0000 -2.4641 11.7720" Properties=species:S:1:pos:R:3 pbc="T T T"
K 0.0000 0.0000 3.4921
K 0.0000 0.0000 31.8239
Pb 0.0000 0.0000 0.0000
I 0.0000 0.0000 17.6580
```

Output
energy above the most stable polymorph in this dataset: 0.000 eV per formula unit
formation energy without anion corrections: -0.462 eV/atom
density: 3.7 g/cm3
size of the total moment: 0.000 μB per atom

---

# KPb4I8

An optimized crystal structure of KPb4I8 (PBE, the Alexandria database).

Structure (extended XYZ):
```
13
Lattice="4.8496 2.7999 7.9735 -4.8496 2.7999 7.9735 0.0000 -5.5999 7.9735" Properties=species:S:1:pos:R:3 pbc="T T T"
K 0.0000 0.0000 0.0000
Pb -4.8496 0.0000 11.9603
Pb -2.4248 1.4000 3.9868
Pb 2.4248 1.4000 3.9868
Pb 0.0000 0.0000 11.9603
I 0.0000 0.0000 5.7234
I -2.4169 -1.3954 13.7214
I 0.0000 -2.7907 10.1992
I -2.4168 1.3954 10.1992
I 2.4168 -1.3954 13.7214
I 0.0000 2.7907 13.7214
I 2.4169 1.3954 10.1992
I 0.0000 0.0000 18.1972
```

Output
energy above the most stable polymorph in this dataset: 0.000 eV per formula unit
formation energy without anion corrections: -0.670 eV/atom
density: 4.8 g/cm3
size of the total moment: 0.000 μB per atom

---

# KPb3I

An optimized crystal structure of KPb3I (PBE, the Alexandria database).

Structure (extended XYZ):
```
5
Lattice="6.2225 0.0000 0.0000 0.0000 6.2225 0.0000 0.0000 0.0000 6.2225" Properties=species:S:1:pos:R:3 pbc="T T T"
K 0.0000 0.0000 0.0000
Pb 0.0000 0.0000 3.1112
Pb 0.0000 3.1112 0.0000
Pb 3.1112 0.0000 0.0000
I 3.1112 3.1112 3.1112
```

Output
energy above the most stable polymorph in this dataset: 2.452 eV per formula unit
formation energy without anion corrections: 0.832 eV/atom
density: 5.4 g/cm3
size of the total moment: 0.000 μB per atom

---

# K2PbI4

An optimized crystal structure of K2PbI4 (PBE, the Alexandria database).

Structure (extended XYZ):
```
7
Lattice="-3.1473 3.1473 9.0811 3.1473 -3.1473 9.0811 3.1473 3.1473 -9.0811" Properties=species:S:1:pos:R:3 pbc="T T T"
K 0.0000 0.0000 2.4774
K 0.0000 0.0000 15.6847
Pb 0.0000 0.0000 9.0811
I 3.1473 0.0000 0.0000
I 0.0000 0.0000 5.8977
I 0.0000 3.1473 0.0000
I 0.0000 0.0000 12.2644
```

Output
energy above the most stable polymorph in this dataset: 0.606 eV per formula unit
formation energy without anion corrections: -1.047 eV/atom
density: 3.7 g/cm3
size of the total moment: 0.000 μB per atom

---

# KPb3I

An optimized crystal structure of KPb3I (PBE, the Alexandria database).

Structure (extended XYZ):
```
5
Lattice="6.1395 0.0000 0.0000 0.0000 6.1395 0.0000 0.0000 0.0000 6.1395" Properties=species:S:1:pos:R:3 pbc="T T T"
K 0.0000 0.0000 0.0000
Pb 0.0000 3.0697 3.0697
Pb 3.0697 0.0000 3.0697
Pb 3.0697 3.0697 0.0000
I 3.0697 3.0697 3.0697
```

Output
energy above the most stable polymorph in this dataset: 0.000 eV per formula unit
formation energy without anion corrections: 0.342 eV/atom
density: 5.7 g/cm3
size of the total moment: 0.000 μB per atom

---

# KPb2I5

An optimized crystal structure of KPb2I5 (PBE, the Alexandria database).

Structure (extended XYZ):
```
32
Lattice="11.9433 0.0000 0.0000 0.0000 8.8006 0.0000 -6.0624 0.0000 14.8888" Properties=species:S:1:pos:R:3 pbc="T T T"
K 0.0000 0.0000 0.0000
K -3.0312 4.4003 7.4444
K 5.9717 0.0000 0.0000
K 2.9405 4.4003 7.4444
Pb -1.3077 0.0371 5.6800
Pb -4.3389 4.3632 13.1244
Pb 1.2174 0.0347 9.2077
Pb 4.2486 4.3655 1.7634
Pb 1.6324 4.4350 13.1254
Pb 4.6636 8.7658 5.6810
Pb 10.2198 4.4374 1.7644
Pb 7.1886 8.7635 9.2088
I -0.7320 1.6204 3.0273
I -3.7632 2.7799 10.4717
I 1.2275 5.7160 1.3377
I -1.8037 7.4849 8.7821
I 2.9845 1.9369 0.0017
I -0.0467 2.4634 7.4461
I -1.3190 5.7156 13.5521
I 1.7122 7.4852 6.1077
I 0.6557 1.6126 11.8665
I 3.6869 2.7877 4.4221
I 2.1940 6.0128 10.4667
I 5.2252 7.1880 3.0223
I 4.1687 1.3153 8.7811
I 7.1999 3.0849 1.3367
I 5.9276 6.3372 7.4427
I 2.8964 6.8636 14.8871
I 7.6846 1.3157 6.1067
I 4.6534 3.0846 13.5511
I 9.6442 6.0207 4.4171
I 6.6130 7.1802 11.8615
```

Output
formation energy without anion corrections: -0.833 eV/atom
density: 4.6 g/cm3
size of the total moment: 0.000 μB per atom

---

# K2PbI4

An optimized crystal structure of K2PbI4 (PBE, the Alexandria database).

Structure (extended XYZ):
```
7
Lattice="5.1642 -7.1001 0.0000 5.1642 7.1001 0.0000 0.0000 0.0000 4.8334" Properties=species:S:1:pos:R:3 pbc="T T T"
K 2.5821 3.5500 0.0000
K 2.5821 -3.5500 0.0000
Pb 0.0000 0.0000 2.4167
I 2.2454 0.0000 0.0000
I 5.1642 3.8240 2.4167
I 5.1642 -3.8240 2.4167
I 8.0829 0.0000 0.0000
```

Output
energy above the most stable polymorph in this dataset: 0.000 eV per formula unit
formation energy without anion corrections: -1.133 eV/atom
density: 3.7 g/cm3
size of the total moment: 0.000 μB per atom